Ag2Hg4Cl9 | PBE | relaxed

```
Ag2Hg4Cl9
1.0
6.9767 0.0000 0.0000
3.3346 6.3621 0.0000
0.9990 3.4914 19.6194
Ag Hg Cl
4 8 18
direct
0.0159 0.3247 0.1720 Ag
0.0426 0.7306 0.6501 Ag
0.9574 0.2694 0.3499 Ag
0.9841 0.6753 0.8280 Ag
0.2780 0.5290 0.4356 Hg
0.3317 0.6236 0.1932 Hg
0.3424 0.0807 0.6806 Hg
0.3450 0.8276 0.9867 Hg
0.6550 0.1724 0.0133 Hg
0.6576 0.9193 0.3194 Hg
0.6683 0.3764 0.8068 Hg
0.7220 0.4710 0.5644 Hg
0.0128 0.4055 0.7446 Cl
0.0231 0.1038 0.5858 Cl
0.0483 0.8954 0.9164 Cl
0.2787 0.4581 0.0979 Cl
0.3012 0.7156 0.7503 Cl
0.3251 0.9311 0.2367 Cl
0.3315 0.1874 0.4076 Cl
0.3471 0.4526 0.5772 Cl
0.3832 0.2407 0.9319 Cl
0.6168 0.7593 0.0681 Cl
0.6529 0.5474 0.4228 Cl
0.6685 0.8126 0.5924 Cl
0.6749 0.0689 0.7633 Cl
0.6988 0.2844 0.2497 Cl
0.7213 0.5419 0.9021 Cl
0.9517 0.1046 0.0836 Cl
0.9769 0.8962 0.4142 Cl
0.9872 0.5945 0.2554 Cl
```

Output
SG = P-1
raw formation energy = -0.472 eV per atom